[1]
A relaxed structure of RbRu2Rh, computed with PBE-GGA.

```
data_RbRu2Rh
_chemical_formula_sum 'Rb4 Ru8 Rh4'
_symmetry_space_group_name_H-M 'I 41/a m d'
_symmetry_Int_Tables_number 141
_cell_length_a 4.913
_cell_length_b 4.913
_cell_length_c 17.516
_cell_angle_alpha 90.00
_cell_angle_beta 90.00
_cell_angle_gamma 90.00
loop_
_symmetry_equiv_pos_as_xyz
'x,y,z'
'-x,-y,-z'
'-y+1/4,x+3/4,z+1/4'
'y+1/4,-x+3/4,-z+1/4'
'-x+1/2,-y,z+1/2'
'x+1/2,y,-z+1/2'
'y+1/4,-x+1/4,z+3/4'
'-y+1/4,x+1/4,-z+3/4'
'x,-y,-z'
'-x,y,z'
'-y+1/4,-x+1/4,-z+3/4'
'y+1/4,x+1/4,z+3/4'
'-x+1/2,y,-z+1/2'
'x+1/2,-y,z+1/2'
'y+1/4,x+3/4,-z+1/4'
'-y+1/4,-x+3/4,z+1/4'
'x+1/2,y+1/2,z+1/2'
'-x+1/2,-y+1/2,-z+1/2'
'-y+3/4,x+1/4,z+3/4'
'y+3/4,-x+1/4,-z+3/4'
'-x,-y+1/2,z'
'x,y+1/2,-z'
'y+3/4,-x+3/4,z+1/4'
'-y+3/4,x+3/4,-z+1/4'
'x+1/2,-y+1/2,-z+1/2'
'-x+1/2,y+1/2,z+1/2'
'-y+3/4,-x+3/4,-z+1/4'
'y+3/4,x+3/4,z+1/4'
'-x,y+1/2,-z'
'x,-y+1/2,z'
'y+3/4,x+1/4,-z+3/4'
'-y+3/4,-x+1/4,z+3/4'
loop_
_atom_site_label
_atom_site_fract_x
_atom_site_fract_y
_atom_site_fract_z
Rb1 0.000 0.250 0.375
Ru1 0.000 0.000 0.000
Rh1 0.000 0.250 0.875
```

Computed properties:
Total magnetization   1.66 μB per formula unit
Excess energy over the best structure of this formula in the dataset   0 meV/atom
DOS(E_F)   1.6374 states/eV/atom
Formation energy from the elements   5.465 eV per formula unit



[2]
A relaxed structure of Pr6Ho2ErTh, computed with PBE-GGA.

```
data_Pr6Ho2ErTh
_chemical_formula_sum 'Pr24 Ho8 Er4 Th4'
_symmetry_space_group_name_H-M 'C 1 2/c 1'
_symmetry_Int_Tables_number 15
_cell_length_a 9.433
_cell_length_b 15.127
_cell_length_c 9.785
_cell_angle_alpha 90.00
_cell_angle_beta 98.06
_cell_angle_gamma 90.00
loop_
_symmetry_equiv_pos_as_xyz
'x,y,z'
'-x,-y,-z'
'-x,y,-z+1/2'
'x,-y,z+1/2'
'x+1/2,y+1/2,z'
'-x+1/2,-y+1/2,-z'
'-x+1/2,y+1/2,-z+1/2'
'x+1/2,-y+1/2,z+1/2'
loop_
_atom_site_label
_atom_site_fract_x
_atom_site_fract_y
_atom_site_fract_z
Pr1 0.065 0.174 0.443
Pr2 0.094 0.393 0.618
Pr3 0.210 0.216 0.811
Ho1 0.245 0.045 0.051
Er1 0.000 0.409 0.250
Th1 0.000 0.029 0.750
```

Computed properties:
Total magnetization   0.00 μB per formula unit
DOS(E_F)   1.4177 states/eV/atom
Formation energy from the elements   1.421 eV per formula unit



[3]
A relaxed structure of AcTb2Sm4Dy, computed with PBE-GGA.

```
data_AcTb2Sm4Dy
_chemical_formula_sum 'Ac1 Tb2 Sm4 Dy1'
_symmetry_space_group_name_H-M 'P m m m'
_symmetry_Int_Tables_number 47
_cell_length_a 5.139
_cell_length_b 5.157
_cell_length_c 10.339
_cell_angle_alpha 90.00
_cell_angle_beta 90.00
_cell_angle_gamma 90.00
loop_
_symmetry_equiv_pos_as_xyz
'x,y,z'
'-x,-y,-z'
'-x,-y,z'
'x,y,-z'
'x,-y,-z'
'-x,y,z'
'-x,y,-z'
'x,-y,z'
loop_
_atom_site_label
_atom_site_fract_x
_atom_site_fract_y
_atom_site_fract_z
Ac1 0.000 0.000 0.000
Tb1 0.000 0.000 0.500
Tb2 0.500 0.500 0.000
Sm1 0.000 0.500 0.258
Sm2 0.500 0.000 0.258
Dy1 0.500 0.500 0.500
```

Computed properties:
Total magnetization   0.00 μB per formula unit
DOS(E_F)   1.4447 states/eV/atom
Formation energy from the elements   0.246 eV per formula unit



[4]
A relaxed structure of HfZrNi2N, computed with PBE-GGA.

```
data_HfZrNi2N
_chemical_formula_sum 'Hf1 Zr1 Ni2 N1'
_symmetry_space_group_name_H-M 'P 4/m m m'
_symmetry_Int_Tables_number 123
_symmetry_space_group_name_Hall '-P 4 2'
_cell_length_a 4.347
_cell_length_b 4.347
_cell_length_c 5.578
_cell_angle_alpha 90.00
_cell_angle_beta 90.00
_cell_angle_gamma 90.00
loop_
_atom_site_label
_atom_site_fract_x
_atom_site_fract_y
_atom_site_fract_z
Hf1 0.000 0.000 0.000
Zr1 0.000 0.000 0.500
Ni1 0.000 0.500 0.000
N1 0.500 0.500 0.500
```

Computed properties:
Total magnetization   0.78 μB per formula unit
DOS(E_F)   1.0165 states/eV/atom
Uncorrected formation energy   1989 meV/atom



What did the second record say?
A relaxed structure of Pr6Ho2ErTh, computed with PBE-GGA.

```
data_Pr6Ho2ErTh
_chemical_formula_sum 'Pr24 Ho8 Er4 Th4'
_symmetry_space_group_name_H-M 'C 1 2/c 1'
_symmetry_Int_Tables_number 15
_cell_length_a 9.433
_cell_length_b 15.127
_cell_length_c 9.785
_cell_angle_alpha 90.00
_cell_angle_beta 98.06
_cell_angle_gamma 90.00
loop_
_symmetry_equiv_pos_as_xyz
'x,y,z'
'-x,-y,-z'
'-x,y,-z+1/2'
'x,-y,z+1/2'
'x+1/2,y+1/2,z'
'-x+1/2,-y+1/2,-z'
'-x+1/2,y+1/2,-z+1/2'
'x+1/2,-y+1/2,z+1/2'
loop_
_atom_site_label
_atom_site_fract_x
_atom_site_fract_y
_atom_site_fract_z
Pr1 0.065 0.174 0.443
Pr2 0.094 0.393 0.618
Pr3 0.210 0.216 0.811
Ho1 0.245 0.045 0.051
Er1 0.000 0.409 0.250
Th1 0.000 0.029 0.750
```

Computed properties:
Total magnetization   0.00 μB per formula unit
DOS(E_F)   1.4177 states/eV/atom
Formation energy from the elements   1.421 eV per formula unit



- total magnetization of number 2 (Pr6Ho2ErTh)?
  0.00 μB per formula unit



- The highest total magnetization belongs to which entry?
  RbRu2Rh